[1]
VASP calculation (PBE) on an optimized crystal structure of LiPuNi.

Properties
crystal system = orthorhombic
calculated total energy = -7.0983 eV per atom
energy above the most stable polymorph in this dataset = 120 meV/atom
energy of formation from the pure elements = 0.244 eV/atom

Lattice parameters (Å, degrees): 14.906 2.601 4.491 90.00 90.00 90.00
Space group Amm2 (No. 38)
One atom of each set of equivalent atoms:
Li: 0.137 0.000 0.000 (multiplicity 4)
Pu: 0.330 0.000 0.558 (multiplicity 4)
Ni: 0.000 0.000 0.667 (multiplicity 2)
Ni: 0.500 0.000 0.890 (multiplicity 2)

---

[2]
VASP calculation (PBE) on an optimized crystal structure of LiPuNiRu.

Properties
crystal system = cubic
calculated total energy = -7.8487 eV per atom
energy of formation from the pure elements = -0.023 eV/atom

Lattice parameters (Å, degrees): 6.279 6.279 6.279 90.00 90.00 90.00
Space group F-43m (No. 216)
One atom of each set of equivalent atoms:
Li: 0.000 0.000 0.000 (multiplicity 4)
Pu: 0.000 0.000 0.500 (multiplicity 4)
Ni: 0.250 0.250 0.750 (multiplicity 4)
Ru: 0.250 0.250 0.250 (multiplicity 4)

---

[3]
VASP calculation (PBE) on an optimized crystal structure of Li2PuNiS4.

Properties
crystal system = monoclinic
E_form (uncorrected) = -1.044 eV per atom
calculated total energy = -6.1006 eV per atom

Lattice parameters (Å, degrees): 6.064 3.770 6.508 90.00 108.64 90.00
Space group P2/m (No. 10)
One atom of each set of equivalent atoms:
Li: 0.000 0.000 0.000 (multiplicity 1)
Li: 0.500 0.500 0.000 (multiplicity 1)
Pu: 0.000 0.500 0.500 (multiplicity 1)
Ni: 0.500 0.000 0.500 (multiplicity 1)
S: 0.265 0.000 0.748 (multiplicity 2)
S: 0.276 0.500 0.268 (multiplicity 2)

---

[4]
VASP calculation (PBE) on an optimized crystal structure of Li4Pu3NiS8.

Properties
crystal system = monoclinic
E_form (uncorrected) = -1.277 eV per atom
calculated total energy = -6.8673 eV per atom

Lattice parameters (Å, degrees): 12.965 7.650 7.527 90.00 124.19 90.00
Space group C2/m (No. 12)
One atom of each set of equivalent atoms:
Li: 0.000 0.000 0.000 (multiplicity 2)
Li: 0.000 0.500 0.000 (multiplicity 2)
Li: 0.250 0.250 0.500 (multiplicity 4)
Pu: 0.000 0.000 0.500 (multiplicity 2)
Pu: 0.250 0.250 0.000 (multiplicity 4)
Ni: 0.000 0.500 0.500 (multiplicity 2)
S: 0.002 0.262 0.261 (multiplicity 8)
S: 0.238 0.500 0.735 (multiplicity 4)
S: 0.248 0.500 0.252 (multiplicity 4)